# PBE LiCo2Se, optimized geometry
# E_tot ... -4.8012 eV/atom
data_LiCo2Se
_chemical_formula_sum 'Li1 Co2 Se1'
_symmetry_space_group_name_H-M 'P 1 2/m 1'
_symmetry_Int_Tables_number 10
_symmetry_space_group_name_Hall '-P 2y'
_cell_length_a 2.702
_cell_length_b 4.543
_cell_length_c 4.361
_cell_angle_alpha 90.00
_cell_angle_beta 91.35
_cell_angle_gamma 90.00
loop_
_atom_site_label
_atom_site_type_symbol
_atom_site_fract_x
_atom_site_fract_y
_atom_site_fract_z
_atom_site_occupancy
Li1 Li 0.000 0.000 0.000 1
Co1 Co 0.320 0.500 0.240 1
Se1 Se 0.500 0.000 0.500 1